# 1
The following is a DFT calculation (PBE) of crystalline AcLaOsI at its relaxed geometry.

E_form (uncorrected)   -13.67 kcal/mol of atoms
Space-group type   R3m, No. 160

Unit cell a=8.773 b=8.773 c=8.773 alpha=28.44 beta=28.44 gamma=28.44
Element x y z (fractional)
Ac (0.000, 0.000, 0.000)
La (0.788, 0.788, 0.788)
Os (0.400, 0.400, 0.400)
I (0.224, 0.224, 0.224)

# 2
The following is a DFT calculation (PBE) of crystalline TiCdP2Cl at its relaxed geometry.

Energy above the lowest structure with this stoichiometry   1.028 eV/atom
E_form (uncorrected)   20.69 kcal/mol of atoms
Space-group type   P4/mmm, No. 123

Unit cell a=4.895 b=4.895 c=5.031 alpha=90.00 beta=90.00 gamma=90.00
Element x y z (fractional)
Ti (0.000, 0.000, 0.000)
Cd (0.500, 0.500, 0.500)
P (0.000, 0.500, 0.500)
P (0.500, 0.000, 0.500)
Cl (0.500, 0.500, 0.000)

# 3
The following is a DFT calculation (PBE) of crystalline TlMoPb2 at its relaxed geometry.

Energy above the lowest structure with this stoichiometry   0.110 eV/atom
Space-group type   Cmm2, No. 35
Energy relative to the elements   0.572 eV/atom

Unit cell a=3.191 b=3.191 c=10.617 alpha=90.00 beta=90.00 gamma=109.09
Element x y z (fractional)
Tl (0.000, 0.000, 0.000)
Mo (0.500, 0.500, 0.212)
Pb (0.000, 0.000, 0.424)
Pb (0.500, 0.500, 0.732)

# 4
The following is a DFT calculation (PBE) of crystalline TiCSCl2 at its relaxed geometry.

Energy above the lowest structure with this stoichiometry   0.000 eV/atom
E_form (uncorrected)   13.62 kcal/mol of atoms
Space-group type   P4/mmm, No. 123

Unit cell a=4.769 b=4.769 c=4.733 alpha=90.00 beta=90.00 gamma=90.00
Element x y z (fractional)
Ti (0.000, 0.000, 0.000)
C (0.500, 0.500, 0.500)
S (0.000, 0.000, 0.500)
Cl (0.000, 0.500, 0.000)
Cl (0.500, 0.000, 0.000)

# 5
The following is a DFT calculation (PBE) of crystalline Sm2CdCu3 at its relaxed geometry.

Energy above the lowest structure with this stoichiometry   0.000 eV/atom
Space-group type   Imm2, No. 44
Energy relative to the elements   -0.193 eV/atom

Unit cell a=8.826 b=8.826 c=8.826 alpha=154.27 beta=154.19 gamma=36.76
Element x y z (fractional)
Sm (0.000, 0.000, 0.000)
Sm (0.720, 0.220, 0.500)
Cd (0.395, 0.395, 0.000)
Cu (0.147, 0.647, 0.500)
Cu (0.293, 0.793, 0.500)
Cu (0.562, 0.562, 0.000)

# 6
The following is a DFT calculation (PBE) of crystalline Tb2PmRh at its relaxed geometry.

Energy above the lowest structure with this stoichiometry   0.096 eV/atom
Space-group type   P4/mmm, No. 123
Energy relative to the elements   -0.397 eV/atom

Unit cell a=3.518 b=3.518 c=8.729 alpha=90.00 beta=90.00 gamma=90.00
Element x y z (fractional)
Tb (0.000, 0.000, 0.187)
Tb (0.000, 0.000, 0.813)
Pm (0.500, 0.500, 0.500)
Rh (0.500, 0.500, 0.000)

# 7
The following is a DFT calculation (PBE) of crystalline PaCdSe2 at its relaxed geometry.

Energy above the lowest structure with this stoichiometry   0.036 eV/atom
E_form (uncorrected)   -19.51 kcal/mol of atoms
Space-group type   R-3m, No. 166

Unit cell a=10.300 b=10.300 c=10.300 alpha=22.97 beta=22.97 gamma=22.97
Element x y z (fractional)
Pa (0.000, 0.000, 0.000)
Cd (0.500, 0.500, 0.500)
Se (0.387, 0.387, 0.387)
Se (0.613, 0.613, 0.613)

# 8
The following is a DFT calculation (PBE) of crystalline CaCePmSm at its relaxed geometry.

Space-group type   F-43m, No. 216
Energy relative to the elements   0.237 eV/atom

Unit cell a=5.834 b=5.834 c=5.834 alpha=60.00 beta=60.00 gamma=60.00
Element x y z (fractional)
Ca (0.000, 0.000, 0.000)
Ce (0.500, 0.500, 0.500)
Pm (0.750, 0.750, 0.750)
Sm (0.250, 0.250, 0.250)

# 9
The following is a DFT calculation (PBE) of crystalline La4In5S13 at its relaxed geometry.

E_form (uncorrected)   -29.60 kcal/mol of atoms
Space-group type   Pbam, No. 55

Unit cell a=12.034 b=21.836 c=4.032 alpha=90.00 beta=90.00 gamma=90.00
Element x y z (fractional)
La (0.022, 0.168, 0.000)
La (0.168, 0.343, 0.000)
La (0.332, 0.843, 0.000)
La (0.478, 0.668, 0.000)
La (0.522, 0.332, 0.000)
La (0.668, 0.157, 0.000)
La (0.832, 0.657, 0.000)
La (0.978, 0.832, 0.000)
In (0.000, 0.500, 0.000)
In (0.152, 0.669, 0.500)
In (0.155, 0.992, 0.500)
In (0.345, 0.492, 0.500)
In (0.348, 0.169, 0.500)
In (0.500, 0.000, 0.000)
In (0.652, 0.831, 0.500)
In (0.655, 0.508, 0.500)
In (0.845, 0.008, 0.500)
In (0.848, 0.331, 0.500)
S (0.000, 0.000, 0.000)
S (0.002, 0.410, 0.500)
S (0.080, 0.261, 0.500)
S (0.152, 0.867, 0.500)
S (0.165, 0.112, 0.500)
S (0.169, 0.736, 0.000)
S (0.204, 0.479, 0.000)
S (0.296, 0.979, 0.000)
S (0.331, 0.236, 0.000)
S (0.335, 0.612, 0.500)
S (0.348, 0.367, 0.500)
S (0.420, 0.761, 0.500)
S (0.498, 0.910, 0.500)
S (0.500, 0.500, 0.000)
S (0.502, 0.090, 0.500)
S (0.580, 0.239, 0.500)
S (0.652, 0.633, 0.500)
S (0.665, 0.388, 0.500)
S (0.669, 0.764, 0.000)
S (0.704, 0.021, 0.000)
S (0.796, 0.521, 0.000)
S (0.831, 0.264, 0.000)
S (0.835, 0.888, 0.500)
S (0.848, 0.133, 0.500)
S (0.920, 0.739, 0.500)
S (0.998, 0.590, 0.500)

# 10
The following is a DFT calculation (PBE) of crystalline KRbInBr3 at its relaxed geometry.

E_form (uncorrected)   -30.65 kcal/mol of atoms
Space-group type   P2_1/m, No. 11

Unit cell a=9.335 b=4.925 c=11.561 alpha=90.00 beta=108.07 gamma=90.00
Element x y z (fractional)
K (0.193, 0.250, 0.131)
K (0.807, 0.750, 0.869)
Rb (0.197, 0.250, 0.726)
Rb (0.803, 0.750, 0.274)
In (0.321, 0.750, 0.407)
In (0.679, 0.250, 0.593)
Br (0.110, 0.250, 0.402)
Br (0.181, 0.750, 0.950)
Br (0.445, 0.750, 0.673)
Br (0.555, 0.250, 0.327)
Br (0.819, 0.250, 0.050)
Br (0.890, 0.750, 0.598)

# 11
The following is a DFT calculation (PBE) of crystalline TlVRuW2 at its relaxed geometry.

Space-group type   P4/mmm, No. 123
Energy relative to the elements   1.496 eV/atom

Unit cell a=4.623 b=4.623 c=4.485 alpha=90.00 beta=90.00 gamma=90.00
Element x y z (fractional)
Tl (0.000, 0.000, 0.000)
V (0.500, 0.500, 0.500)
Ru (0.500, 0.500, 0.000)
W (0.000, 0.500, 0.500)
W (0.500, 0.000, 0.500)

# 12
The following is a DFT calculation (PBE) of crystalline Li2Zn3 at its relaxed geometry.

Energy above the lowest structure with this stoichiometry   0.000 eV/atom
Space-group type   R-3m, No. 166
Energy relative to the elements   -0.166 eV/atom

Unit cell a=5.081 b=5.081 c=5.081 alpha=51.11 beta=51.11 gamma=51.11
Element x y z (fractional)
Li (0.101, 0.101, 0.101)
Li (0.899, 0.899, 0.899)
Zn (0.305, 0.305, 0.305)
Zn (0.500, 0.500, 0.500)
Zn (0.695, 0.695, 0.695)

# 13
The following is a DFT calculation (PBE) of crystalline NaSbOsO6 at its relaxed geometry.

E_form (uncorrected)   -28.82 kcal/mol of atoms
Space-group type   P-31c, No. 163

Unit cell a=5.327 b=5.327 c=10.316 alpha=90.00 beta=90.00 gamma=120.00
Element x y z (fractional)
Na (0.000, 0.000, 0.000)
Na (0.000, 0.000, 0.500)
Sb (0.333, 0.667, 0.250)
Sb (0.667, 0.333, 0.750)
Os (0.333, 0.667, 0.750)
Os (0.667, 0.333, 0.250)
O (0.017, 0.384, 0.646)
O (0.017, 0.633, 0.854)
O (0.367, 0.384, 0.854)
O (0.367, 0.983, 0.646)
O (0.384, 0.017, 0.146)
O (0.384, 0.367, 0.354)
O (0.616, 0.633, 0.646)
O (0.616, 0.983, 0.854)
O (0.633, 0.017, 0.354)
O (0.633, 0.616, 0.146)
O (0.983, 0.367, 0.146)
O (0.983, 0.616, 0.354)

# 14
The following is a DFT calculation (PBE) of crystalline CsYI2 at its relaxed geometry.

Energy above the lowest structure with this stoichiometry   0.233 eV/atom
E_form (uncorrected)   -13.99 kcal/mol of atoms
Space-group type   Fm-3m, No. 225

Unit cell a=5.988 b=5.988 c=5.988 alpha=60.00 beta=60.00 gamma=60.00
Element x y z (fractional)
Cs (0.000, 0.000, 0.000)
Y (0.500, 0.500, 0.500)
I (0.250, 0.250, 0.250)
I (0.750, 0.750, 0.750)

# 15
The following is a DFT calculation (PBE) of crystalline LiZnSi2 at its relaxed geometry.

E_form (uncorrected)   2.83 kcal/mol of atoms
Space-group type   P4/mmm, No. 123

Unit cell a=2.623 b=2.623 c=8.561 alpha=90.00 beta=90.00 gamma=90.00
Element x y z (fractional)
Li (0.000, 0.000, 0.000)
Zn (0.000, 0.000, 0.500)
Si (0.500, 0.500, 0.239)
Si (0.500, 0.500, 0.761)

# 16
The following is a DFT calculation (PBE) of crystalline BaZnTcP at its relaxed geometry.

Space-group type   P4/nmm, No. 129
Energy relative to the elements   -0.489 eV/atom

Unit cell a=4.002 b=4.002 c=12.236 alpha=90.00 beta=90.00 gamma=90.00
Element x y z (fractional)
Ba (0.250, 0.250, 0.248)
Ba (0.750, 0.750, 0.752)
Zn (0.250, 0.750, 0.500)
Zn (0.750, 0.250, 0.500)
Tc (0.250, 0.750, 0.000)
Tc (0.750, 0.250, 0.000)
P (0.250, 0.250, 0.893)
P (0.750, 0.750, 0.107)

# 17
The following is a DFT calculation (PBE) of crystalline TaNiAs2Se at its relaxed geometry.

Energy above the lowest structure with this stoichiometry   0.014 eV/atom
E_form (uncorrected)   16.00 kcal/mol of atoms
Space-group type   P4/mmm, No. 123

Unit cell a=4.996 b=4.996 c=4.934 alpha=90.00 beta=90.00 gamma=90.00
Element x y z (fractional)
Ta (0.000, 0.000, 0.000)
Ni (0.500, 0.500, 0.500)
As (0.000, 0.500, 0.000)
As (0.500, 0.000, 0.000)
Se (0.000, 0.000, 0.500)